VASP calculation (PBE) on a relaxed LiPd crystal.

CIF file:
```
data_LiPd
_chemical_formula_sum 'Li6 Pd6'
_cell_length_a 6.709
_cell_length_b 6.709
_cell_length_c 6.709
_cell_angle_alpha 90.00
_cell_angle_beta 90.00
_cell_angle_gamma 90.00
_space_group_name_H-M_alt 'P 1'
_space_group_IT_number 1
loop_
_space_group_symop_operation_xyz
'x,y,z'
loop_
_atom_site_label
_atom_site_fract_x
_atom_site_fract_y
_atom_site_fract_z
Li1 0.000 0.500 0.750
Li2 0.000 0.500 0.250
Li3 0.500 0.750 0.000
Li4 0.500 0.250 0.000
Li5 0.250 0.000 0.500
Li6 0.750 0.000 0.500
Pd1 0.000 0.750 0.500
Pd2 0.500 0.000 0.250
Pd3 0.000 0.250 0.500
Pd4 0.750 0.500 0.000
Pd5 0.500 0.000 0.750
Pd6 0.250 0.500 0.000
```

Calculated values
As for the density of states at the Fermi level: 0.9 states/eV/f.u. The calculation puts the formation energy at 0.6044 eV/atom. The calculation puts the total energy at -35.39 eV per cell. The calculated volume comes out at 50.3 Å³/f.u.